# 1
The following is a DFT calculation (PBEsol) of Tl2AgRu after structural relaxation.

abc: 3.378 3.944 5.779
angles: 90.00 90.00 90.00
Positions (direct):
Ag 0.000 0.000 0.494
Ru 0.500 0.500 0.768
Tl 0.000 0.000 0.957
Tl 0.500 0.500 0.280

Output
E ... -16.72 eV/cell
Formation energy ... 506.8 meV/atom
Space-group type ... No. 25
N(E_F) ... 3.59 states/eV per cell


# 2
The following is a DFT calculation (PBEsol) of Tl2HgW after structural relaxation.

abc: 5.020 5.020 5.020
angles: 60.00 60.00 60.00
Positions (direct):
Hg 0.500 0.500 0.500
Tl 0.000 0.000 0.000
Tl 0.750 0.750 0.750
W 0.250 0.250 0.250

Output
E ... -15.04 eV/cell
Formation energy ... 1149.5 meV/atom
Space-group type ... No. 216
N(E_F) ... 2.86 states/eV per cell


# 3
The following is a DFT calculation (PBEsol) of K2MnBe after structural relaxation.

abc: 4.379 5.400 5.400
angles: 115.88 90.00 90.00
Positions (direct):
Be 0.500 0.500 0.500
K 0.000 0.500 0.000
K 0.000 0.000 0.500
Mn 0.500 0.000 0.000

Output
E ... -10.93 eV/cell
Formation energy ... 1275.5 meV/atom
Space-group type ... No. 65
N(E_F) ... 3.65 states/eV per cell


Question: Among the records above, which one has the lowest formation energy?
Answer: Tl2AgRu